Version w
A geometry-optimized CrHgCl2 structure, computed with PBE.

## Properties
- Spin magnetization: 4.000 μB/cell
- Symmetry: No. 166
- Density of states at the Fermi level: 5.59 states/eV/cell

Structure (POSCAR):
```
CrHgCl2
1.0
2.091 0.000 10.622
-1.046 1.811 10.622
-1.046 -1.811 10.622
Cr Hg Cl
1 1 2
Direct
0.500 0.500 0.500
0.000 0.000 0.000
0.877 0.877 0.877
0.123 0.123 0.123
```

Version x
A geometry-optimized CrHgCl2 structure, computed with PBE.

## Properties
- Spin magnetization: 0.154 μB/cell
- Symmetry: No. 122
- Density of states at the Fermi level: 9.65 states/eV/cell

Structure (POSCAR):
```
CrHgCl2
1.0
7.058 0.000 0.000
0.000 7.058 0.000
3.529 3.529 4.939
Cr Hg Cl
2 2 4
Direct
0.500 0.500 0.000
0.250 0.750 0.500
0.000 0.000 0.000
0.750 0.250 0.500
0.434 0.125 0.250
0.316 0.625 0.250
0.375 0.566 0.750
0.875 0.684 0.750
```

Which structure loses on stability? version x does.